Version i
{
  "formula": "LaCdBr",
  "functional": "GGA-PBE",
  "state": "optimized geometry",
  "vol_a3_per_cell": 235,
  "magmom_total_mub_per_cell": 1.79,
  "lattice": [[3.5174, -2.0300, 0.0000], [3.5174, 2.0300, 0.0000], [-0.9059, 0.0000, 16.4551]],
  "species": ["La", "La", "Cd", "Cd", "Br", "Br"],
  "frac_coords": [[0.1547, 0.1547, 0.4092], [0.8453, 0.8453, 0.5908], [0.1755, 0.1755, 0.0646], [0.8245, 0.8245, 0.9354], [0.4725, 0.4725, 0.2893], [0.5275, 0.5275, 0.7107]]
}

***

Version ii
{
  "formula": "LaCdBr",
  "functional": "GGA-PBE",
  "state": "optimized geometry",
  "vol_a3_per_cell": 211,
  "magmom_total_mub_per_cell": 1.23,
  "lattice": [[4.0573, -2.3458, 0.0000], [4.0573, 2.3458, 0.0000], [-0.4288, 0.0000, 11.0764]],
  "species": ["La", "La", "Cd", "Cd", "Br", "Br"],
  "frac_coords": [[0.0104, 0.0104, 0.1954], [0.9896, 0.9896, 0.8046], [0.3342, 0.3342, 0.0180], [0.6658, 0.6658, 0.9820], [0.3155, 0.3155, 0.6569], [0.6845, 0.6845, 0.3431]]
}

***

Which structure wins on stability? version ii wins.

***

Version i
{
  "formula": "LaCd3Br",
  "functional": "GGA-PBE",
  "state": "optimized geometry",
  "vol_a3_per_cell": 173,
  "magmom_total_mub_per_cell": 0.00,
  "lattice": [[5.5683, 0.0000, 0.0000], [0.0000, 5.5683, 0.0000], [0.0000, 0.0000, 5.5683]],
  "species": ["La", "Cd", "Cd", "Cd", "Br"],
  "frac_coords": [[0.0000, 0.0000, 0.0000], [0.0000, 0.5000, 0.5000], [0.5000, 0.0000, 0.5000], [0.5000, 0.5000, 0.0000], [0.5000, 0.5000, 0.5000]]
}

***

Version ii
{
  "formula": "LaCd3Br",
  "functional": "GGA-PBE",
  "state": "optimized geometry",
  "vol_a3_per_cell": 266,
  "magmom_total_mub_per_cell": 0.56,
  "lattice": [[6.4272, 0.0000, 0.0000], [0.0000, 6.4272, 0.0000], [0.0000, 0.0000, 6.4272]],
  "species": ["La", "Cd", "Cd", "Cd", "Br"],
  "frac_coords": [[0.0000, 0.0000, 0.0000], [0.0000, 0.0000, 0.5000], [0.0000, 0.5000, 0.0000], [0.5000, 0.0000, 0.0000], [0.5000, 0.5000, 0.5000]]
}

***

Which structure wins on stability? version i wins.

***

Version i
{
  "formula": "LaCdSe2Br",
  "functional": "GGA-PBE",
  "state": "optimized geometry",
  "vol_a3_per_cell": 146,
  "magmom_total_mub_per_cell": 0.22,
  "lattice": [[5.3048, 0.0000, 0.0000], [0.0000, 5.3048, 0.0000], [0.0000, 0.0000, 5.2035]],
  "species": ["La", "Cd", "Se", "Se", "Br"],
  "frac_coords": [[0.0000, 0.0000, 0.0000], [0.5000, 0.5000, 0.5000], [0.0000, 0.5000, 0.5000], [0.5000, 0.0000, 0.5000], [0.5000, 0.5000, 0.0000]]
}

***

Version ii
{
  "formula": "LaCdSe2Br",
  "functional": "GGA-PBE",
  "state": "optimized geometry",
  "vol_a3_per_cell": 195,
  "magmom_total_mub_per_cell": 0.00,
  "lattice": [[5.8201, 0.0000, 0.0000], [0.0000, 5.8201, 0.0000], [0.0000, 0.0000, 5.7639]],
  "species": ["La", "Cd", "Se", "Se", "Br"],
  "frac_coords": [[0.0000, 0.0000, 0.0000], [0.5000, 0.5000, 0.5000], [0.0000, 0.5000, 0.0000], [0.5000, 0.0000, 0.0000], [0.0000, 0.0000, 0.5000]]
}

***

Which structure wins on stability? version i wins.

***

Version i
{
  "formula": "LiCd2Br",
  "functional": "GGA-PBE",
  "state": "optimized geometry",
  "vol_a3_per_cell": 103,
  "magmom_total_mub_per_cell": 0.00,
  "lattice": [[-2.4014, 2.4014, 4.4517], [2.4014, -2.4014, 4.4517], [2.4014, 2.4014, -4.4517]],
  "species": ["Li", "Cd", "Cd", "Br"],
  "frac_coords": [[0.0000, 0.0000, 0.0000], [0.5000, 0.5000, 0.0000], [0.7500, 0.2500, 0.5000], [0.2500, 0.7500, 0.5000]]
}

***

Version ii
{
  "formula": "LiCd2Br",
  "functional": "GGA-PBE",
  "state": "optimized geometry",
  "vol_a3_per_cell": 97,
  "magmom_total_mub_per_cell": 0.00,
  "lattice": [[3.4173, 0.0000, 0.0000], [0.0000, 3.4173, 0.0000], [0.0000, 0.0000, 8.3202]],
  "species": ["Li", "Cd", "Cd", "Br"],
  "frac_coords": [[0.0000, 0.0000, 0.0000], [0.5000, 0.5000, 0.2394], [0.5000, 0.5000, 0.7606], [0.0000, 0.0000, 0.5000]]
}

***

Version iii
{
  "formula": "LiCd2Br",
  "functional": "GGA-PBE",
  "state": "optimized geometry",
  "vol_a3_per_cell": 120,
  "magmom_total_mub_per_cell": 0.00,
  "lattice": [[4.9470, -1.9133, 0.0000], [4.9470, 1.9133, 0.0000], [-2.9860, 0.0000, 6.3497]],
  "species": ["Li", "Cd", "Cd", "Br"],
  "frac_coords": [[0.0000, 0.0000, 0.0000], [0.4103, 0.4103, 0.2987], [0.7099, 0.7099, 0.3560], [0.3481, 0.3481, 0.7975]]
}

***

Version iv
{
  "formula": "LiCd2Br",
  "functional": "GGA-PBE",
  "state": "optimized geometry",
  "vol_a3_per_cell": 102,
  "magmom_total_mub_per_cell": 0.00,
  "lattice": [[1.8524, 1.0695, 8.6019], [-1.8524, 1.0695, 8.6019], [0.0000, -2.1390, 8.6019]],
  "species": ["Li", "Cd", "Cd", "Br"],
  "frac_coords": [[0.0000, 0.0000, 0.0000], [0.2527, 0.2527, 0.2527], [0.7473, 0.7473, 0.7473], [0.5000, 0.5000, 0.5000]]
}

***

Which structure wins on stability? version iii wins.

***

Version i
{
  "formula": "LiCd2Br",
  "functional": "GGA-PBE",
  "state": "optimized geometry",
  "vol_a3_per_cell": 99,
  "magmom_total_mub_per_cell": 0.00,
  "lattice": [[1.9741, -2.8795, 0.0000], [1.9741, 2.8795, 0.0000], [0.0000, 0.0000, 8.7126]],
  "species": ["Li", "Cd", "Cd", "Br"],
  "frac_coords": [[0.0000, 0.0000, 0.0000], [0.5000, 0.5000, 0.2427], [0.5000, 0.5000, 0.7573], [0.0000, 0.0000, 0.5000]]
}

***

Version ii
{
  "formula": "LiCd2Br",
  "functional": "GGA-PBE",
  "state": "optimized geometry",
  "vol_a3_per_cell": 108,
  "magmom_total_mub_per_cell": 0.00,
  "lattice": [[-1.8149, 3.0946, 4.8070], [1.8149, -3.0946, 4.8070], [1.8149, 3.0946, -4.8070]],
  "species": ["Li", "Cd", "Cd", "Br"],
  "frac_coords": [[0.0000, 0.0000, 0.0000], [0.2574, 0.7574, 0.5000], [0.5298, 0.5298, 0.0000], [0.8267, 0.3267, 0.5000]]
}

***

Version iii
{
  "formula": "LiCd2Br",
  "functional": "GGA-PBE",
  "state": "optimized geometry",
  "vol_a3_per_cell": 110,
  "magmom_total_mub_per_cell": 0.00,
  "lattice": [[4.0119, 0.0000, 0.0000], [0.0000, 4.0119, 0.0000], [0.0000, 0.0000, 6.8607]],
  "species": ["Li", "Cd", "Cd", "Br"],
  "frac_coords": [[0.0000, 0.0000, 0.0000], [0.0000, 0.5000, 0.5000], [0.5000, 0.0000, 0.5000], [0.5000, 0.5000, 0.0000]]
}

***

Which structure wins on stability? version iii wins.

***

Version i
{
  "formula": "LiCd2Br",
  "functional": "GGA-PBE",
  "state": "optimized geometry",
  "vol_a3_per_cell": 114,
  "magmom_total_mub_per_cell": 0.00,
  "lattice": [[3.5209, 0.0000, 0.0000], [0.0000, 3.5209, 0.0000], [0.0000, 0.0000, 9.2072]],
  "species": ["Li", "Cd", "Cd", "Br"],
  "frac_coords": [[0.0000, 0.0000, 0.0000], [0.0000, 0.0000, 0.3472], [0.5000, 0.5000, 0.5762], [0.5000, 0.5000, 0.9456]]
}

***

Version ii
{
  "formula": "LiCd2Br",
  "functional": "GGA-PBE",
  "state": "optimized geometry",
  "vol_a3_per_cell": 220,
  "magmom_total_mub_per_cell": 0.00,
  "lattice": [[-4.4608, 4.4608, 2.7657], [4.4608, -4.4608, 2.7657], [4.4608, 4.4608, -2.7657]],
  "species": ["Li", "Li", "Cd", "Cd", "Cd", "Cd", "Br", "Br"],
  "frac_coords": [[0.0000, 0.0000, 0.0000], [0.7500, 0.2500, 0.5000], [0.1333, 0.6250, 0.0083], [0.3750, 0.3833, 0.5083], [0.6167, 0.1250, 0.9917], [0.8750, 0.8667, 0.4917], [0.2500, 0.7500, 0.5000], [0.5000, 0.5000, 0.0000]]
}

***

Version iii
{
  "formula": "LiCd2Br",
  "functional": "GGA-PBE",
  "state": "optimized geometry",
  "vol_a3_per_cell": 117,
  "magmom_total_mub_per_cell": 0.00,
  "lattice": [[0.0000, 3.8849, 3.8849], [3.8849, 0.0000, 3.8849], [3.8849, 3.8849, 0.0000]],
  "species": ["Li", "Cd", "Cd", "Br"],
  "frac_coords": [[0.0000, 0.0000, 0.0000], [0.2500, 0.2500, 0.2500], [0.7500, 0.7500, 0.7500], [0.5000, 0.5000, 0.5000]]
}

***

Which structure wins on stability? version i wins.

***

Version i
{
  "formula": "LiCd2Br",
  "functional": "GGA-PBE",
  "state": "optimized geometry",
  "vol_a3_per_cell": 108,
  "magmom_total_mub_per_cell": 0.00,
  "lattice": [[4.0946, 0.0000, 0.0000], [0.0000, 3.9368, 0.0000], [-1.9105, 0.0000, 6.7121]],
  "species": ["Li", "Cd", "Cd", "Br"],
  "frac_coords": [[0.0000, 0.0000, 0.0000], [0.2959, 0.0000, 0.5583], [0.7748, 0.5000, 0.5138], [0.5554, 0.5000, 0.0359]]
}

***

Version ii
{
  "formula": "LiCd2Br",
  "functional": "GGA-PBE",
  "state": "optimized geometry",
  "vol_a3_per_cell": 104,
  "magmom_total_mub_per_cell": 0.00,
  "lattice": [[2.7387, -4.9667, 0.0000], [2.7387, 4.9667, 0.0000], [0.0000, 0.0000, 3.8259]],
  "species": ["Li", "Cd", "Cd", "Br"],
  "frac_coords": [[0.0000, 0.0000, 0.0000], [0.0000, 0.5000, 0.5000], [0.5000, 0.0000, 0.5000], [0.5000, 0.5000, 0.0000]]
}

***

Which structure wins on stability? version i wins.

***

Version i
{
  "formula": "LiCdBr",
  "functional": "GGA-PBE",
  "state": "optimized geometry",
  "vol_a3_per_cell": 86,
  "magmom_total_mub_per_cell": 0.00,
  "lattice": [[3.9601, 0.0000, 0.0000], [-1.9800, 3.4295, 0.0000], [0.0000, 0.0000, 6.3149]],
  "species": ["Li", "Cd", "Br"],
  "frac_coords": [[0.0000, 0.0000, 0.0000], [0.3333, 0.6667, 0.6035], [0.6667, 0.3333, 0.1522]]
}

***

Version ii
{
  "formula": "LiCdBr",
  "functional": "GGA-PBE",
  "state": "optimized geometry",
  "vol_a3_per_cell": 86,
  "magmom_total_mub_per_cell": 0.00,
  "lattice": [[0.0000, 3.5036, 3.5036], [3.5036, 0.0000, 3.5036], [3.5036, 3.5036, 0.0000]],
  "species": ["Li", "Cd", "Br"],
  "frac_coords": [[0.0000, 0.0000, 0.0000], [0.7500, 0.7500, 0.7500], [0.2500, 0.2500, 0.2500]]
}

***

Which structure wins on stability? version i wins.

***

Version i
{
  "formula": "LiCdBr",
  "functional": "GGA-PBE",
  "state": "optimized geometry",
  "vol_a3_per_cell": 216,
  "magmom_total_mub_per_cell": 0.00,
  "lattice": [[14.0800, 0.0000, 0.0000], [0.0000, 2.1045, 3.6448], [0.0000, -2.1045, 3.6448]],
  "species": ["Li", "Li", "Cd", "Cd", "Br", "Br"],
  "frac_coords": [[0.2497, 0.0000, 0.0000], [0.7503, 0.0000, 0.0000], [0.0000, 0.0063, 0.0063], [0.5000, 0.9840, 0.9840], [0.2498, 0.3332, 0.3332], [0.7502, 0.3332, 0.3332]]
}

***

Version ii
{
  "formula": "LiCdBr",
  "functional": "GGA-PBE",
  "state": "optimized geometry",
  "vol_a3_per_cell": 101,
  "magmom_total_mub_per_cell": 0.00,
  "lattice": [[0.0000, 3.6908, 3.6908], [3.6908, 0.0000, 3.6908], [3.6908, 3.6908, 0.0000]],
  "species": ["Li", "Cd", "Br"],
  "frac_coords": [[0.0000, 0.0000, 0.0000], [0.7500, 0.7500, 0.7500], [0.5000, 0.5000, 0.5000]]
}

***

Which structure wins on stability? version i wins.

***

Version i
{
  "formula": "Mg2CdBr",
  "functional": "GGA-PBE",
  "state": "optimized geometry",
  "vol_a3_per_cell": 98,
  "magmom_total_mub_per_cell": 0.00,
  "lattice": [[-1.6932, 2.6492, 5.4582], [1.6932, -2.6492, 5.4582], [1.6932, 2.6492, -5.4582]],
  "species": ["Mg", "Mg", "Cd", "Br"],
  "frac_coords": [[0.0000, 0.0000, 0.0000], [0.7549, 0.2549, 0.5000], [0.4907, 0.4907, 0.0000], [0.2092, 0.7092, 0.5000]]
}

***

Version ii
{
  "formula": "Mg2CdBr",
  "functional": "GGA-PBE",
  "state": "optimized geometry",
  "vol_a3_per_cell": 96,
  "magmom_total_mub_per_cell": 0.00,
  "lattice": [[3.6036, -4.0917, 0.0000], [3.6036, 4.0917, 0.0000], [0.0000, 0.0000, 3.2690]],
  "species": ["Mg", "Mg", "Cd", "Br"],
  "frac_coords": [[0.0000, 0.5000, 0.0000], [0.5000, 0.0000, 0.0000], [0.0000, 0.0000, 0.5000], [0.5000, 0.5000, 0.5000]]
}

***

Which structure wins on stability? version i wins.

***

Version i
{
  "formula": "Mg2CdBr",
  "functional": "GGA-PBE",
  "state": "optimized geometry",
  "vol_a3_per_cell": 104,
  "magmom_total_mub_per_cell": 0.00,
  "lattice": [[3.3895, 0.0000, 0.0000], [0.0000, 4.8928, 0.0000], [0.0000, 0.0000, 6.2555]],
  "species": ["Mg", "Mg", "Cd", "Br"],
  "frac_coords": [[0.0000, 0.0000, 0.0000], [0.5000, 0.0000, 0.5000], [0.0000, 0.5000, 0.5000], [0.5000, 0.5000, 0.0000]]
}

***

Version ii
{
  "formula": "Mg2CdBr",
  "functional": "GGA-PBE",
  "state": "optimized geometry",
  "vol_a3_per_cell": 210,
  "magmom_total_mub_per_cell": 0.00,
  "lattice": [[-3.9478, 3.9478, 3.3667], [3.9478, -3.9478, 3.3667], [3.9478, 3.9478, -3.3667]],
  "species": ["Mg", "Mg", "Mg", "Mg", "Cd", "Cd", "Br", "Br"],
  "frac_coords": [[0.1144, 0.1250, 0.4894], [0.3750, 0.8856, 0.0106], [0.6356, 0.6250, 0.5106], [0.8750, 0.3644, 0.9894], [0.2500, 0.7500, 0.5000], [0.5000, 0.5000, 0.0000], [0.0000, 0.0000, 0.0000], [0.7500, 0.2500, 0.5000]]
}

***

Version iii
{
  "formula": "Mg2CdBr",
  "functional": "GGA-PBE",
  "state": "optimized geometry",
  "vol_a3_per_cell": 102,
  "magmom_total_mub_per_cell": 0.00,
  "lattice": [[-2.1031, 2.1031, 5.7450], [2.1031, -2.1031, 5.7450], [2.1031, 2.1031, -5.7450]],
  "species": ["Mg", "Mg", "Cd", "Br"],
  "frac_coords": [[0.0000, 0.0000, 0.0000], [0.7500, 0.2500, 0.5000], [0.5000, 0.5000, 0.0000], [0.2500, 0.7500, 0.5000]]
}

***

Which structure wins on stability? version ii wins.